No. 1
Below is an optimized crystal structure of CaCr3Hg, with properties calculated at the PBE level.

Cell and atoms, written as POSCAR:
```
CaCr3Hg
1.0
-4.4971 1.5694 -1.2565
1.1075 -0.6357 -4.7577
-1.6779 -4.6259 0.2275
Cr Ca Hg
3 1 1
Cartesian
0.5537 -0.3178 -2.3788
-0.8389 -2.3130 0.1137
-2.2486 0.7847 -0.6283
0.0000 0.0000 0.0000
-2.5338 -1.8461 -2.8934
```

Values from the calculation:
**ΔH_f (0 K)**: 2.02 eV/atom
**Energy above the lowest structure with this stoichiometry**: 4.42 eV per formula unit
**Total DFT energy (no corrections)**: -4.2192 eV per atom
**Mass density**: 5.51 g/cm3


No. 2
Below is an optimized crystal structure of CaCr2Hg, with properties calculated at the PBE level.

Cell and atoms, written as POSCAR:
```
CaCr2Hg
1.0
-0.0685 -3.2385 -0.1562
2.4621 0.0498 -2.1105
4.8740 -0.3769 5.6771
Cr Ca Hg
2 1 1
Cartesian
0.3554 -0.0275 0.4140
2.1829 -1.6706 0.0152
4.9251 -1.8827 3.2092
2.2412 -0.1733 2.6105
```

Values from the calculation:
**ΔH_f (0 K)**: 0.23 eV/atom
**Total DFT energy (no corrections)**: -5.1530 eV per atom
**Mass density**: 7.26 g/cm3


No. 3
Below is an optimized crystal structure of CaCr2Hg, with properties calculated at the PBE level.

Cell and atoms, written as POSCAR:
```
CaCr2Hg
1.0
4.4916 -0.0124 0.0000
0.0093 4.4917 0.0000
0.0000 0.0000 4.1867
Cr Ca Hg
2 1 1
Cartesian
0.0000 0.0000 0.0000
2.2505 2.2396 0.0000
0.0047 2.2458 2.0934
2.2458 -0.0062 2.0934
```

Values from the calculation:
**ΔH_f (0 K)**: 0.56 eV/atom
**Total DFT energy (no corrections)**: -4.8295 eV per atom
**Mass density**: 6.78 g/cm3


No. 4
Below is an optimized crystal structure of CaCr2Hg, with properties calculated at the PBE level.

Cell and atoms, written as POSCAR:
```
CaCr2Hg
1.0
-2.4916 2.7330 -2.1825
-2.2835 -3.3008 -1.5265
-8.5548 0.3560 5.9876
Cr Ca Hg
4 2 2
Cartesian
-4.4908 1.9432 -0.5041
-5.8595 0.5418 -1.4662
-7.7399 0.7289 3.4119
-8.7776 2.3961 2.4598
-2.3876 -0.2839 -1.8545
-6.6129 -1.6144 1.3033
0.0000 0.0000 0.0000
-6.7170 1.4025 0.9753
```

Values from the calculation:
**ΔH_f (0 K)**: 0.84 eV/atom
**Total DFT energy (no corrections)**: -4.5517 eV per atom
**Mass density**: 6.21 g/cm3